*P*
A relaxed structure of K2Ga2Sn. Source: Alexandria via LeMat-Bulk, functional PBE-GGA.

Properties
Crystal system   monoclinic
N(E_F)   2.178 states/eV/f.u.

Lattice parameters (Å, degrees): 3.690 8.134 7.205 129.75 104.84 90.00
Element x y z (fractional)
Ga  0.673  0.995  0.346
K  0.635  0.508  0.269
Sn  0.000  0.000  0.000
K  0.365  0.492  0.731
Ga  0.327  0.005  0.654

*Q*
A relaxed structure of K2Ga2Sn. Source: Alexandria via LeMat-Bulk, functional PBE-GGA.

Properties
Crystal system   tetragonal
N(E_F)   4.320 states/eV/f.u.

Lattice parameters (Å, degrees): 7.340 7.340 5.760 90.00 90.00 90.00
Element x y z (fractional)
K  0.187  0.687  0.500
Ga  0.377  0.877  0.000
Sn  0.000  0.000  0.000
Ga  0.877  0.623  0.000
Ga  0.623  0.123  0.000
K  0.687  0.813  0.500
K  0.313  0.187  0.500
Sn  0.500  0.500  0.000
Ga  0.123  0.377  0.000
K  0.813  0.313  0.500

Relative energies with respect to the most stable structure, expressed in meV/atom: *P* 84; *Q* 0.

*P*
A relaxed structure of KGa3Sn3. Source: Alexandria via LeMat-Bulk, functional PBE-GGA.

Properties
Crystal system   cubic
N(E_F)   4.895 states/eV/f.u.

Lattice parameters (Å, degrees): 7.691 7.691 7.691 90.00 90.00 90.00
Element x y z (fractional)
Sn  0.250  0.000  0.500
K  0.500  0.500  0.500
Sn  0.750  0.000  0.500
Ga  0.500  0.000  0.750
Sn  0.500  0.250  0.000
Sn  0.000  0.500  0.250
Ga  0.000  0.250  0.500
Sn  0.500  0.750  0.000
Ga  0.250  0.500  0.000
Ga  0.500  0.000  0.250
Sn  0.000  0.500  0.750
K  0.000  0.000  0.000
Ga  0.000  0.750  0.500
Ga  0.750  0.500  0.000

*Q*
A relaxed structure of KGa3Sn3. Source: Alexandria via LeMat-Bulk, functional PBE-GGA.

Properties
Crystal system   hexagonal
N(E_F)   2.897 states/eV/f.u.

Lattice parameters (Å, degrees): 4.551 10.920 10.920 120.01 90.00 90.00
Element x y z (fractional)
Ga  0.250  0.080  0.670
Ga  0.250  0.330  0.411
Sn  0.250  0.596  0.671
Sn  0.250  0.329  0.925
Sn  0.250  0.075  0.404
K  0.750  0.333  0.667
Ga  0.750  0.670  0.589
Ga  0.750  0.920  0.330
K  0.250  0.667  0.333
Ga  0.250  0.589  0.920
Sn  0.750  0.671  0.075
Sn  0.750  0.404  0.329
Ga  0.750  0.411  0.080
Sn  0.750  0.925  0.596

Relative energies with respect to the most stable structure, expressed in meV/atom: *P* 0; *Q* 19.

*P*
A relaxed structure of KGa4Sn2. Source: Alexandria via LeMat-Bulk, functional PBE-GGA.

Properties
Crystal system   orthorhombic
N(E_F)   2.357 states/eV/f.u.

Lattice parameters (Å, degrees): 4.757 5.085 8.026 108.47 90.00 90.00
Element x y z (fractional)
Ga  0.000  0.711  0.423
Ga  0.500  0.189  0.379
Sn  0.500  0.605  0.209
Ga  0.500  0.811  0.621
Sn  0.500  0.395  0.791
K  0.000  0.000  0.000
Ga  0.000  0.289  0.577

*Q*
A relaxed structure of KGa4Sn2. Source: Alexandria via LeMat-Bulk, functional PBE-GGA.

Properties
Crystal system   trigonal
N(E_F)   3.086 states/eV/f.u.

Lattice parameters (Å, degrees): 4.932 4.932 9.450 74.87 74.87 60.00
Element x y z (fractional)
Ga  0.140  0.140  0.580
Ga  0.451  0.451  0.648
Ga  0.549  0.549  0.352
K  0.000  0.000  0.000
Ga  0.860  0.860  0.420
Sn  0.246  0.246  0.261
Sn  0.754  0.754  0.739

Relative energies with respect to the most stable structure, expressed in meV/atom: *P* 0; *Q* 28.